Record 1
Ti2Tl2Cd | Alexandria | PBE | optimized geometry; energy of formation = 301 meV per atom; polymorph energy (0 for the lowest one) = 79 meV per atom; ρ = 9.55 g/cm³; Fermi-level density of states = 14.51 states/eV/cell
1.0
7.799 0.000 0.000
0.000 7.799 0.000
0.000 0.000 3.527
Ti Tl Cd
4 4 2
Cartesian
1.326 2.574 0.000
2.574 6.473 0.000
5.225 1.326 0.000
6.473 5.225 0.000
1.041 4.940 1.763
2.859 1.041 1.763
4.940 6.758 1.763
6.758 2.859 1.763
0.000 0.000 1.763
3.899 3.899 1.763

---

Record 2
La2TaTlIr | Alexandria | PBE | optimized geometry; energy of formation = 1491 meV per atom; ρ = 8.15 g/cm³; Fermi-level density of states = 7.32 states/eV/cell
1.0
5.850 0.000 0.000
0.000 5.850 0.000
0.000 0.000 5.094
La Ta Tl Ir
2 1 1 1
Cartesian
0.000 2.925 0.000
2.925 0.000 0.000
0.000 0.000 2.547
0.000 0.000 0.000
2.925 2.925 2.547

---

Record 3
NaPuSnBr6 | Alexandria | PBE | optimized geometry; VASP energy = -4.551 eV per atom; ρ = 4.60 g/cm³; Fermi-level density of states = 26.51 states/eV/cell
1.0
7.433 0.000 0.000
-3.716 6.437 0.000
0.000 0.000 13.056
Na Pu Sn Br
2 2 2 12
Cartesian
0.000 4.291 3.264
3.716 2.146 9.792
0.000 4.291 9.792
3.716 2.146 3.264
0.000 0.000 0.000
0.000 0.000 6.528
-1.204 2.228 8.172
-2.389 4.281 11.412
1.204 2.228 11.412
-1.185 6.365 8.172
2.531 0.072 1.644
1.327 2.156 4.884
2.389 4.281 8.172
1.185 6.365 11.412
4.902 0.072 4.884
2.513 4.209 1.644
6.105 2.156 1.644
4.920 4.209 4.884

---

Record 4
Mg2AlRh | Alexandria | PBE | optimized geometry; energy of formation = -315 meV per atom; ρ = 4.41 g/cm³; Fermi-level density of states = 1.84 states/eV/cell
1.0
3.217 0.000 0.000
0.000 3.384 0.000
0.000 0.000 6.175
Mg Al Rh
2 1 1
Cartesian
0.000 0.000 1.388
0.000 0.000 4.786
1.609 1.692 3.087
1.609 1.692 0.000

---

Record 5
TlInCuF6 | Alexandria | PBE | optimized geometry; VASP energy = -4.300 eV per atom; ρ = 5.16 g/cm³; Fermi-level density of states = 7.58 states/eV/cell
1.0
-3.710 3.941 5.468
3.710 -3.941 5.468
3.710 3.941 -5.468
Tl In Cu F
2 2 2 12
Cartesian
0.000 1.971 0.500
3.710 1.971 4.968
3.710 0.000 0.000
0.000 0.000 5.468
1.855 1.971 -2.734
1.855 -1.971 2.734
2.124 -0.522 1.271
5.295 -0.522 1.271
3.710 -1.971 3.296
2.124 3.419 -1.271
1.586 -0.522 4.197
3.710 1.971 0.837
0.000 1.971 4.631
2.124 4.463 1.271
1.586 0.522 6.739
0.000 5.912 2.171
-1.586 4.463 4.197
1.586 4.463 4.197

---

Record 6
KSbIr2 | Alexandria | PBE | optimized geometry; VASP energy = -5.104 eV per atom; ρ = 10.33 g/cm³; Fermi-level density of states = 5.51 states/eV/cell
1.0
1.661 0.959 9.169
-1.661 0.959 9.169
0.000 -1.918 9.169
K Sb Ir
1 1 2
Cartesian
0.000 0.000 0.000
0.000 0.000 13.754
0.000 0.000 6.385
0.000 0.000 21.123

---

Record 7
SrPmP2S8 | Alexandria | PBE | optimized geometry; VASP energy = -4.984 eV per atom; ρ = 3.11 g/cm³; Fermi-level density of states = 12.85 states/eV/cell
1.0
6.030 0.000 0.000
-3.015 5.223 0.000
0.000 0.000 9.341
Sr Pm P S
1 1 2 8
Cartesian
0.000 0.000 0.000
0.000 0.000 4.670
0.000 3.482 7.146
3.015 1.741 2.195
-1.964 3.408 2.775
0.000 3.482 9.182
1.046 1.817 2.775
2.097 0.003 6.566
0.918 5.220 2.775
1.969 3.405 6.566
3.015 1.741 0.158
4.980 1.814 6.566

---

Record 8
Hf2BH | Alexandria | PBE | optimized geometry; polymorph energy (0 for the lowest one) = 289 meV per atom; ρ = 9.24 g/cm³; Fermi-level density of states = 3.66 states/eV/cell
1.0
1.752 1.011 6.235
-1.752 1.011 6.235
0.000 -2.023 6.235
Hf B H
2 1 1
Cartesian
0.000 0.000 1.908
0.000 0.000 16.796
0.000 0.000 9.352
0.000 0.000 0.000

---

Record 9
Dy5Pd2 | Alexandria | PBE | optimized geometry; energy of formation = -527 meV per atom; ρ = 8.99 g/cm³; Fermi-level density of states = 17.65 states/eV/cell
1.0
8.272 -3.274 0.000
8.272 3.274 0.000
-0.791 0.000 6.997
Dy Pd
10 4
Cartesian
7.679 2.832 5.248
3.405 0.439 2.158
3.010 -0.439 5.657
6.644 0.745 0.489
9.505 0.745 3.010
6.249 -0.745 3.987
9.110 -0.745 6.508
12.744 0.439 1.340
12.349 -0.439 4.839
8.075 -2.832 1.749
6.096 1.948 3.023
10.054 1.948 0.475
5.700 -1.948 6.522
9.658 -1.948 3.974

---

Record 10
PuPa3Ir2 | Alexandria | PBE | optimized geometry; energy of formation = -436 meV per atom; ρ = 16.50 g/cm³; Fermi-level density of states = 20.07 states/eV/cell
1.0
7.569 -2.466 0.000
7.569 2.466 0.000
-3.915 0.000 7.124
Pu Pa Ir
2 6 4
Cartesian
1.090 0.000 1.202
10.134 0.000 5.921
-1.999 0.000 5.133
0.803 0.000 6.717
3.954 0.000 3.004
7.270 0.000 4.119
10.421 0.000 0.406
13.223 0.000 1.990
1.007 0.000 4.019
6.877 0.000 1.229
4.346 0.000 5.894
10.217 0.000 3.105

---

Record 11
Tb4Nd2Sm | Alexandria | PBE | optimized geometry; energy of formation = 203 meV per atom; polymorph energy (0 for the lowest one) = 6 meV per atom; ρ = 7.52 g/cm³; Fermi-level density of states = 11.75 states/eV/cell
1.0
4.621 -4.700 0.000
4.621 4.700 0.000
-3.476 0.000 5.464
Tb Nd Sm
4 2 1
Cartesian
1.233 1.769 1.183
1.233 -1.769 1.183
4.533 1.769 4.281
4.533 -1.769 4.281
1.635 0.000 3.989
4.131 0.000 1.475
-1.738 0.000 2.732

---

Record 12
SrCaAcEr | Alexandria | PBE | optimized geometry; energy of formation = 161 meV per atom; ρ = 5.26 g/cm³; Fermi-level density of states = 4.27 states/eV/cell
1.0
0.000 4.351 4.351
4.351 0.000 4.351
4.351 4.351 0.000
Sr Ca Ac Er
1 1 1 1
Cartesian
0.000 0.000 0.000
6.527 6.527 6.527
2.176 2.176 2.176
4.351 4.351 4.351

---

Record 13
BeCuSeN2 | Alexandria | PBE | optimized geometry; polymorph energy (0 for the lowest one) = 412 meV per atom; ρ = 3.29 g/cm³; Fermi-level density of states = 2.03 states/eV/cell
1.0
3.507 0.000 0.000
0.000 3.507 0.000
0.000 0.000 7.361
Be Cu Se N
1 1 1 2
Cartesian
0.000 0.000 0.000
1.754 1.754 3.681
1.754 1.754 0.000
0.000 1.754 3.681
1.754 0.000 3.681

---

Record 14
BHBr | Alexandria | PBE | optimized geometry; polymorph energy (0 for the lowest one) = 67 meV per atom; ρ = 2.10 g/cm³; Fermi-level density of states = 0.00 states/eV/cell
1.0
4.465 0.000 0.000
-0.114 4.886 0.000
-2.071 -1.148 6.652
B H Br
2 2 2
Cartesian
0.000 0.000 0.000
-0.114 4.602 1.634
-1.480 -0.315 6.030
0.484 3.773 2.254
1.100 2.609 5.622
3.276 0.831 2.669

---

Record 15
BaTePN2 | Alexandria | PBE | optimized geometry; polymorph energy (0 for the lowest one) = 962 meV per atom; ρ = 3.50 g/cm³; Fermi-level density of states = 3.56 states/eV/cell
1.0
4.527 0.000 0.000
0.000 4.527 0.000
0.000 0.000 7.491
Ba Te P N
1 1 1 2
Cartesian
0.000 0.000 0.000
0.000 0.000 3.745
2.264 2.264 3.745
0.000 2.264 0.000
2.264 0.000 0.000

---

Record 16
YBe3As3 | Alexandria | PBE | optimized geometry; energy of formation = -530 meV per atom; ρ = 4.47 g/cm³; Fermi-level density of states = 0.39 states/eV/cell
1.0
3.323 1.918 6.614
-3.323 1.918 6.614
0.000 -3.837 6.614
Y Be As
2 6 6
Cartesian
0.000 0.000 3.300
0.000 0.000 16.541
-1.107 -1.951 7.450
-2.243 -0.017 12.391
-1.136 1.934 7.450
1.136 -1.934 12.391
2.243 0.017 7.450
1.107 1.951 12.391
-2.168 -0.005 8.119
-1.080 -1.880 11.723
1.088 -1.876 8.119
-1.088 1.876 11.723
1.080 1.880 8.119
2.168 0.005 11.723

---

Record 17
PrGe2SbO8 | Alexandria | PBE | optimized geometry; VASP energy = -6.588 eV per atom; ρ = 5.58 g/cm³
1.0
-3.561 3.561 3.145
3.561 -3.561 3.145
3.561 3.561 -3.145
Pr Ge Sb O
1 2 1 8
Cartesian
0.000 0.000 0.000
3.561 0.000 1.573
0.000 0.000 3.145
0.000 3.561 1.573
2.347 0.000 0.277
4.776 0.000 0.277
3.561 2.172 -1.126
3.561 -1.214 2.868
0.000 1.389 2.019
3.561 1.214 2.868
2.172 3.561 1.126
1.389 0.000 4.272

---

Record 18
AcTbSnIr | Alexandria | PBE | optimized geometry; energy of formation = -425 meV per atom; ρ = 10.77 g/cm³; Fermi-level density of states = 3.41 states/eV/cell
1.0
0.000 3.773 3.773
3.773 0.000 3.773
3.773 3.773 0.000
Ac Tb Sn Ir
1 1 1 1
Cartesian
0.000 0.000 0.000
3.773 3.773 3.773
1.887 1.887 1.887
5.660 5.660 5.660

---

Record 19
CsAc2Br2F5 | Alexandria | PBE | optimized geometry; VASP energy = -5.440 eV per atom; ρ = 6.02 g/cm³; Fermi-level density of states = 0.00 states/eV/cell
1.0
10.975 0.000 0.000
0.000 10.975 0.000
0.000 0.000 3.857
Cs Ac Br F
2 4 4 10
Cartesian
0.000 0.000 0.000
5.488 5.488 0.000
1.404 4.084 0.000
4.084 9.571 0.000
6.892 1.404 0.000
9.571 6.892 0.000
1.837 7.324 0.000
3.651 1.837 0.000
7.324 9.139 0.000
9.139 3.651 0.000
0.000 5.488 1.928
0.865 2.608 1.928
2.608 10.110 1.928
2.879 4.623 1.928
4.623 8.096 1.928
5.488 0.000 1.928
6.353 2.879 1.928
8.096 6.353 1.928
8.367 0.865 1.928
10.110 8.367 1.928

---

Record 20
La2AsP | Alexandria | PBE | optimized geometry; energy of formation = -1219 meV per atom; polymorph energy (0 for the lowest one) = 354 meV per atom; ρ = 6.17 g/cm³; Fermi-level density of states = 0.91 states/eV/cell
1.0
3.716 -3.809 0.000
3.716 3.809 0.000
-0.655 0.000 3.650
La As P
2 1 1
Cartesian
1.858 1.905 0.000
1.858 -1.905 0.000
-0.327 0.000 1.825
3.388 0.000 1.825